Material: Ca2OsRh
Method: DFT, GGA-PBE
State: relaxed

Calculated values
raw total energy: -5.332 eV/atom
energy relative to the elements: 314 meV per atom

```
data_Ca2OsRh
_chemical_formula_sum 'Ca2 Os1 Rh1'
_cell_length_a 3.071
_cell_length_b 3.071
_cell_length_c 8.381
_cell_angle_alpha 90.00
_cell_angle_beta 90.00
_cell_angle_gamma 90.00
_symmetry_space_group_name_H-M 'P 4/m m m'
_symmetry_Int_Tables_number 123
_symmetry_space_group_name_Hall '-P 4 2'
loop_
_atom_site_label
_atom_site_type_symbol
_atom_site_fract_x
_atom_site_fract_y
_atom_site_fract_z
Ca1 Ca 0.000 0.000 0.239
Os1 Os 0.500 0.500 0.500
Rh1 Rh 0.500 0.500 0.000
```